Entry 1:
The following is a PBE calculation of an optimized crystal structure of ZrBe2AgHg, from Alexandria.

Unit cell a=4.803 b=5.476 c=4.803 alpha=90.00 beta=90.00 gamma=90.00
Positions (direct):
Zr  0.000  0.000  0.000
Hg  0.000  0.500  0.000
Ag  0.500  0.500  0.500
Be  0.000  0.000  0.500
Be  0.500  0.000  0.000

The calculation puts the total energy at -2.395 eV/atom. The density of states at the Fermi level is 5.01 states/eV per cell. The total moment comes out at 0.000 μB per atom. Its volume is 126.3 Å³/cell. Its energy of formation from the pure elements is 1.435 eV per atom. Its symmetry is P4/mmm, No. 123.

Entry 2:
The following is a PBE calculation of an optimized crystal structure of Y2ZrTc2, from Alexandria.

Unit cell a=6.910 b=6.910 c=4.722 alpha=90.00 beta=90.00 gamma=90.00
Positions (direct):
Y  0.175  0.675  0.500
Y  0.675  0.825  0.500
Y  0.825  0.325  0.500
Y  0.325  0.175  0.500
Tc  0.376  0.876  0.000
Tc  0.876  0.624  0.000
Tc  0.624  0.124  0.000
Tc  0.124  0.376  0.000
Zr  0.000  0.000  0.000
Zr  0.500  0.500  0.000

The calculation puts the total energy at -8.468 eV/atom. The density of states at the Fermi level is 8.44 states/eV per cell. The total moment comes out at 0.000 μB per atom. Its volume is 225.5 Å³/cell. Its energy of formation from the pure elements is -0.026 eV per atom. Its symmetry is P4/mbm, No. 127.

Entry 3:
The following is a PBE calculation of an optimized crystal structure of EuDy2Te, from Alexandria.

Unit cell a=3.902 b=3.902 c=11.220 alpha=79.99 beta=79.99 gamma=60.00
Positions (direct):
Eu  0.000  0.000  0.000
Te  0.500  0.500  0.500
Dy  0.106  0.106  0.683
Dy  0.894  0.894  0.317

The calculation puts the total energy at -5.966 eV/atom. The density of states at the Fermi level is 4.74 states/eV per cell. The formation energy from raw total energies comes out at -0.3106 eV per atom. The total moment comes out at 1.910 μB per atom. Its volume is 145.0 Å³/cell. Its symmetry is R-3m, No. 166.